No. 1
First-principles (GGA-PBE) data for Nd8PtSe3S4 after structural relaxation, as listed in Alexandria via LeMat-Bulk.

Fermi-level density of states: 19.0 states/eV per cell
uncorrected formation energy: -42.5 kcal/mol of atoms

Unit cell a=8.3142 b=8.3142 c=20.3617 alpha=90.00 beta=90.00 gamma=120.00
Space group R-3m (No. 166, hexagonal axes)
Asymmetric unit:
Nd: 0.0000 0.0000 0.2439 x6
Nd: 0.0066 0.5033 0.7531 x18
Pt: 0.0000 0.0000 0.0000 x3
Se: 0.0000 0.5000 0.0000 x9
S: 0.0000 0.0000 0.5000 x3
S: 0.0000 0.5000 0.5000 x9

***

No. 2
First-principles (GGA-PBE) data for Nd6PtSe3S2 after structural relaxation, as listed in Alexandria via LeMat-Bulk.

Fermi-level density of states: 8.6 states/eV per cell
uncorrected formation energy: -41.4 kcal/mol of atoms

Unit cell a=7.242 b=12.519 c=7.280 alpha=90.00 beta=109.42 gamma=90.00
Space group C2/m (No. 12)
Asymmetric unit:
Nd: 0.244 0.000 0.239 x4
Nd: 0.246 0.332 0.237 x8
Pt: 0.000 0.500 0.000 x2
Se: 0.000 0.000 0.500 x2
Se: 0.000 0.332 0.500 x4
S: 0.000 0.166 0.000 x4

***

No. 3
First-principles (GGA-PBE) data for Nd6Pt2SeS3 after structural relaxation, as listed in Alexandria via LeMat-Bulk.

Fermi-level density of states: 16.6 states/eV per cell
uncorrected formation energy: -37.9 kcal/mol of atoms

Unit cell a=18.368 b=4.090 c=8.469 alpha=90.00 beta=104.82 gamma=90.00
Space group C2/m (No. 12)
Asymmetric unit:
Nd: 0.001 0.000 0.260 x4
Nd: 0.166 0.500 0.584 x4
Nd: 0.171 0.500 0.092 x4
Pt: 0.167 0.000 0.336 x4
Se: 0.000 0.500 0.000 x2
S: 0.000 0.500 0.500 x2
S: 0.162 0.000 0.838 x4

***

No. 4
First-principles (GGA-PBE) data for Nd6Te3Pt2S after structural relaxation, as listed in Alexandria via LeMat-Bulk.

Fermi-level density of states: 13.8 states/eV per cell
uncorrected formation energy: -32.5 kcal/mol of atoms

Unit cell a=7.396 b=12.840 c=7.826 alpha=90.00 beta=108.28 gamma=90.00
Space group C2/m (No. 12)
Asymmetric unit:
Nd: 0.235 0.000 0.219 x4
Nd: 0.243 0.331 0.217 x8
Te: 0.000 0.000 0.500 x2
Te: 0.000 0.336 0.500 x4
Pt: 0.000 0.167 0.000 x4
S: 0.000 0.500 0.000 x2

***

No. 5
First-principles (GGA-PBE) data for Nd4Te2PtS after structural relaxation, as listed in Alexandria via LeMat-Bulk.

Fermi-level density of states: 4.8 states/eV per cell
uncorrected formation energy: -34.4 kcal/mol of atoms

Unit cell a=7.527 b=4.230 c=7.707 alpha=90.00 beta=109.00 gamma=90.00
Space group P2/m (No. 10)
Asymmetric unit:
Nd: 0.231 0.000 0.215 x2
Nd: 0.266 0.500 0.780 x2
Te: 0.000 0.000 0.500 x1
Te: 0.500 0.500 0.500 x1
Pt: 0.000 0.500 0.000 x1
S: 0.500 0.000 0.000 x1

***

No. 6
First-principles (GGA-PBE) data for Nd8Te4Pt3S after structural relaxation, as listed in Alexandria via LeMat-Bulk.

Fermi-level density of states: 38.5 states/eV per cell
uncorrected formation energy: -31.4 kcal/mol of atoms

Unit cell a=8.5606 b=8.5606 c=22.3301 alpha=90.00 beta=90.00 gamma=120.00
Space group R-3m (No. 166, hexagonal axes)
Asymmetric unit:
Nd: 0.0000 0.0000 0.2371 x6
Nd: 0.0034 0.5017 0.7604 x18
Te: 0.0000 0.0000 0.0000 x3
Te: 0.0000 0.5000 0.0000 x9
Pt: 0.0000 0.5000 0.5000 x9
S: 0.0000 0.0000 0.5000 x3

***

No. 7
First-principles (GGA-PBE) data for NdSbPt4 after structural relaxation, as listed in Alexandria via LeMat-Bulk.

Fermi-level density of states: 8.8 states/eV per cell
uncorrected formation energy: -13.3 kcal/mol of atoms

Unit cell a=7.911 b=4.115 c=7.265 alpha=90.00 beta=90.00 gamma=90.00
Space group Pmma (No. 51)
Asymmetric unit:
Nd: 0.250 0.000 0.153 x2
Sb: 0.250 0.000 0.735 x2
Pt: 0.000 0.000 0.500 x2
Pt: 0.029 0.500 0.809 x4
Pt: 0.250 0.500 0.458 x2

***

No. 8
First-principles (GGA-PBE) data for Nd4Sb2Pt after structural relaxation, as listed in Alexandria via LeMat-Bulk.

Fermi-level density of states: 13.2 states/eV per cell
uncorrected formation energy: -19.5 kcal/mol of atoms

Unit cell a=16.106 b=4.382 c=7.514 alpha=90.00 beta=116.41 gamma=90.00
Space group C2/m (No. 12)
Asymmetric unit:
Nd: 0.117 0.000 0.434 x4
Nd: 0.119 0.500 0.980 x4
Sb: 0.235 0.500 0.734 x4
Pt: 0.000 0.000 0.000 x2